1.
This record from Alexandria describes crystalline Hf2Ni13 at its relaxed geometry. The functional is PBE-GGA.

The structure in POSCAR format:
```
Hf2Ni13
1.0
3.1147 1.7983 6.5395
-3.1147 1.7983 6.5395
0.0000 -3.5966 6.5395
Hf Ni
2 13
Direct
0.1421 0.1421 0.1421
0.8579 0.8579 0.8579
0.0000 0.0000 0.0000
0.1269 0.1269 0.5106
0.1269 0.5106 0.1269
0.2513 0.2513 0.6298
0.2513 0.6298 0.2513
0.3702 0.7487 0.7487
0.4894 0.8731 0.8731
0.5106 0.1269 0.1269
0.6298 0.2513 0.2513
0.7487 0.3702 0.7487
0.7487 0.7487 0.3702
0.8731 0.4894 0.8731
0.8731 0.8731 0.4894
```

Summary:
For the electronic total energy, the calculation gives -91.0 eV/cell. The magnetic moment is 0.00 μB per cell. The formation energy comes out at 271 meV per atom. Its space group is R-3m. Its density of states at the Fermi level is 21.6 states/eV/f.u.


2.
This record from Alexandria describes crystalline Ba2MgSe at its relaxed geometry. The functional is PBE-GGA.

The structure in POSCAR format:
```
Ba2MgSe
1.0
-2.7678 2.7678 4.7837
2.7678 -2.7678 4.7837
2.7678 2.7678 -4.7837
Ba Mg Se
2 1 1
Direct
0.2500 0.7500 0.5000
0.7500 0.2500 0.5000
0.0000 0.0000 0.0000
0.5000 0.5000 0.0000
```

Summary:
For the electronic total energy, the calculation gives -11.4 eV/cell. The magnetic moment is 0.00 μB per cell. The calculation puts the energy above the most stable polymorph in this dataset at 259 meV/atom. Its space group is I4/mmm. The uncorrected formation energy comes out at -0.619 eV/atom. Its density of states at the Fermi level is 4.6 states/eV/f.u.


Q: Look up the magnetic moment of the first one.
A: 0.00 μB per cell